Below is a relaxed structure of Rb2V2Tc, with properties calculated at the PBE level.

For the electronic total energy, the calculation gives -5.02 eV/atom. Its total magnetic moment is 0.582 μB per atom. The value obtained for the energy above the most stable polymorph in this dataset is 0 meV per atom.

The space group is P4/mbm (No. 127) and the conventional cell measures 6.3596, 6.3596 and 6.5705 Å, with angles of 90.00, 90.00 and 90.00 degrees. The asymmetric unit holds Rb at (0.1846, 0.3154, 0.0000), V at (0.1579, 0.6579, 0.5000) and Tc at (0.0000, 0.0000, 0.5000).



Below is a relaxed structure of Rb2VTc, with properties calculated at the PBE level.

For the electronic total energy, the calculation gives -4.06 eV/atom. Its total magnetic moment is 0.203 μB per atom. The value obtained for the energy above the most stable polymorph in this dataset is 0 meV per atom.

The space group is I-42d (No. 122) and the conventional cell measures 13.6005, 13.6005 and 4.4984 Å, with angles of 90.00, 90.00 and 90.00 degrees. The asymmetric unit holds Rb at (0.0722, 0.2500, 0.1250), V at (0.0000, 0.0000, 0.0000) and Tc at (0.0000, 0.0000, 0.5000).